# 1
A relaxed BaUP2S8 crystal, computed with PBE.

abc: 6.1281 6.1281 9.2006
angles: 90.00 90.00 120.00
Sites, in units of the cell vectors:
Ba  0.0000  0.0000  0.0000
U  0.0000  0.0000  0.5000
P  0.3333  0.6667  0.7570
P  0.6667  0.3333  0.2430
S  0.0072  0.3466  0.6863
S  0.3333  0.6667  0.9740
S  0.3395  0.9928  0.6863
S  0.3466  0.3395  0.3137
S  0.6534  0.6605  0.6863
S  0.6605  0.0072  0.3137
S  0.6667  0.3333  0.0260
S  0.9928  0.6534  0.3137

Summary:
total magnetization: 2.0 μB per formula unit
SG: P-3, No. 147
final energy: -5.5503 eV per atom

---

# 2
A relaxed TiBOF2 crystal, computed with PBE.

abc: 4.0305 4.0305 3.8107
angles: 90.00 90.00 90.00
Sites, in units of the cell vectors:
Ti  0.0000  0.0000  0.0000
B  0.5000  0.5000  0.5000
O  0.0000  0.0000  0.5000
F  0.0000  0.5000  0.0000
F  0.5000  0.0000  0.0000

Summary:
total magnetization: 0.4 μB per formula unit
SG: P4/mmm, No. 123
final energy: -6.0328 eV per atom

---

> Number 1 is which compound?

BaUP2S8

---

What did the first record say?
A relaxed BaUP2S8 crystal, computed with PBE.

abc: 6.1281 6.1281 9.2006
angles: 90.00 90.00 120.00
Sites, in units of the cell vectors:
Ba  0.0000  0.0000  0.0000
U  0.0000  0.0000  0.5000
P  0.3333  0.6667  0.7570
P  0.6667  0.3333  0.2430
S  0.0072  0.3466  0.6863
S  0.3333  0.6667  0.9740
S  0.3395  0.9928  0.6863
S  0.3466  0.3395  0.3137
S  0.6534  0.6605  0.6863
S  0.6605  0.0072  0.3137
S  0.6667  0.3333  0.0260
S  0.9928  0.6534  0.3137

Summary:
total magnetization: 2.0 μB per formula unit
SG: P-3, No. 147
final energy: -5.5503 eV per atom

---

> total magnetization of number 2 (TiBOF2)?

0.4 μB per formula unit

---

> Among the records above, which one has the lowest total magnetization?

TiBOF2